DFT (GGA-PBEsol) results for an optimized crystal structure of Ce2Mg.

Properties
Its calculated formation energy is 0.03 eV/atom. Its volume is 23.484 Å³ per atom. The value obtained for the polymorph energy (0 for the lowest one) is 0 meV/atom.

CIF file:
```
data_Ce2Mg
_chemical_formula_sum 'Ce8 Mg4'
_cell_length_a 10.243
_cell_length_b 3.125
_cell_length_c 9.483
_cell_angle_alpha 90.00
_cell_angle_beta 111.82
_cell_angle_gamma 90.00
_space_group_name_H-M_alt 'C 1 2/m 1'
_space_group_IT_number 12
_space_group_name_Hall '-C 2y'
loop_
_atom_site_label
_atom_site_type_symbol
_atom_site_fract_x
_atom_site_fract_y
_atom_site_fract_z
Ce1 Ce 0.016 0.000 0.287
Ce2 Ce 0.186 0.500 0.609
Mg1 Mg 0.156 0.500 0.059
```